Record 1
## CdPbSO (PBE)

Data for crystalline CdPbSO at its relaxed geometry.

Cell and atoms, written as CIF:
```
data_CdPbSO
_cell_length_a 3.970
_cell_length_b 3.970
_cell_length_c 12.795
_cell_angle_alpha 90.00
_cell_angle_beta 90.00
_cell_angle_gamma 120.00
_symmetry_space_group_name_H-M 'P 1'
_symmetry_Int_Tables_number 1
loop_
_symmetry_equiv_pos_as_xyz
'x,y,z'
loop_
_atom_site_label
_atom_site_type_symbol
_atom_site_fract_x
_atom_site_fract_y
_atom_site_fract_z
_atom_site_occupancy
Cd1 Cd 0.000 0.000 0.502 1
Cd2 Cd 0.000 0.000 0.002 1
S1 S 0.333 0.667 0.589 1
S2 S 0.667 0.333 0.089 1
Pb1 Pb 0.667 0.333 0.764 1
Pb2 Pb 0.333 0.667 0.264 1
O1 O 0.000 0.000 0.332 1
O2 O 0.000 0.000 0.832 1
```

Values from the calculation:
SG = No. 186
polymorph energy (0 for the lowest one) = 0 meV/atom



Record 2
## CdPbSO (PBE)

Data for crystalline CdPbSO at its relaxed geometry.

Cell and atoms, written as CIF:
```
data_CdPbSO
_cell_length_a 4.935
_cell_length_b 4.935
_cell_length_c 7.702
_cell_angle_alpha 90.00
_cell_angle_beta 90.00
_cell_angle_gamma 90.00
_symmetry_space_group_name_H-M 'P 1'
_symmetry_Int_Tables_number 1
loop_
_symmetry_equiv_pos_as_xyz
'x,y,z'
loop_
_atom_site_label
_atom_site_type_symbol
_atom_site_fract_x
_atom_site_fract_y
_atom_site_fract_z
_atom_site_occupancy
O1 O 0.250 0.250 0.899 1
O2 O 0.750 0.750 0.101 1
S1 S 0.750 0.250 0.500 1
S2 S 0.250 0.750 0.500 1
Cd1 Cd 0.250 0.250 0.619 1
Cd2 Cd 0.750 0.750 0.381 1
Pb1 Pb 0.750 0.750 0.832 1
Pb2 Pb 0.250 0.250 0.168 1
```

Values from the calculation:
SG = No. 129
polymorph energy (0 for the lowest one) = 312 meV/atom



Record 3
## CdPbSO (PBE)

Data for crystalline CdPbSO at its relaxed geometry.

Cell and atoms, written as CIF:
```
data_CdPbSO
_cell_length_a 5.868
_cell_length_b 3.735
_cell_length_c 15.758
_cell_angle_alpha 90.00
_cell_angle_beta 90.00
_cell_angle_gamma 90.00
_symmetry_space_group_name_H-M 'P 1'
_symmetry_Int_Tables_number 1
loop_
_symmetry_equiv_pos_as_xyz
'x,y,z'
loop_
_atom_site_label
_atom_site_type_symbol
_atom_site_fract_x
_atom_site_fract_y
_atom_site_fract_z
_atom_site_occupancy
O1 O 0.718 0.750 0.846 1
O2 O 0.218 0.750 0.654 1
O3 O 0.282 0.250 0.154 1
O4 O 0.782 0.250 0.346 1
Cd1 Cd 0.205 0.750 0.077 1
Cd2 Cd 0.795 0.250 0.923 1
Cd3 Cd 0.295 0.250 0.577 1
Cd4 Cd 0.705 0.750 0.423 1
Pb1 Pb 0.840 0.750 0.679 1
Pb2 Pb 0.660 0.250 0.179 1
Pb3 Pb 0.160 0.250 0.321 1
Pb4 Pb 0.340 0.750 0.821 1
S1 S 0.742 0.250 0.555 1
S2 S 0.242 0.250 0.945 1
S3 S 0.758 0.750 0.055 1
S4 S 0.258 0.750 0.445 1
```

Values from the calculation:
SG = No. 62
polymorph energy (0 for the lowest one) = 144 meV/atom



Record 4
## CdPbSO (PBE)

Data for crystalline CdPbSO at its relaxed geometry.

Cell and atoms, written as CIF:
```
data_CdPbSO
_cell_length_a 3.948
_cell_length_b 6.201
_cell_length_c 6.791
_cell_angle_alpha 90.00
_cell_angle_beta 73.10
_cell_angle_gamma 90.00
_symmetry_space_group_name_H-M 'P 1'
_symmetry_Int_Tables_number 1
loop_
_symmetry_equiv_pos_as_xyz
'x,y,z'
loop_
_atom_site_label
_atom_site_type_symbol
_atom_site_fract_x
_atom_site_fract_y
_atom_site_fract_z
_atom_site_occupancy
Pb1 Pb 0.410 0.750 0.181 1
Pb2 Pb 0.590 0.250 0.819 1
S1 S 0.739 0.750 0.522 1
S2 S 0.261 0.250 0.478 1
O1 O 0.000 0.000 0.000 1
O2 O 0.000 0.500 0.000 1
Cd1 Cd 0.875 0.250 0.251 1
Cd2 Cd 0.125 0.750 0.749 1
```

Values from the calculation:
SG = No. 63
polymorph energy (0 for the lowest one) = 190 meV/atom